Material: V2IrRu
Method: DFT, PBE
State: optimized geometry

The calculation puts the density of states at the Fermi level at 0.833 states/eV/atom. The value obtained for the energy relative to the elements is -36.0 kJ/mol of atoms. For the total energy, the calculation gives -9.466 eV per atom.

a b c (Å): 2.844 4.427 4.427
angles (deg): 82.46 90.00 90.00
Fractional coordinates of all 4 atoms:
V 0.000 0.213 0.787
V 0.000 0.787 0.213
Ir 0.500 0.284 0.284
Ru 0.500 0.722 0.722

Material: V2Ir2Ru5
Method: DFT, PBE
State: optimized geometry

The calculation puts the density of states at the Fermi level at 0.938 states/eV/atom. The value obtained for the energy relative to the elements is 30.2 kJ/mol of atoms. For the total energy, the calculation gives -8.836 eV per atom.

a b c (Å): 4.778 4.778 8.658
angles (deg): 104.94 104.94 48.79
Fractional coordinates of all 9 atoms:
V 0.159 0.159 0.476
V 0.841 0.841 0.524
Ir 0.354 0.354 0.029
Ir 0.646 0.646 0.971
Ru 0.088 0.088 0.763
Ru 0.372 0.372 0.741
Ru 0.500 0.500 0.500
Ru 0.628 0.628 0.259
Ru 0.912 0.912 0.237

Material: V4Ir3Ru2
Method: DFT, PBE
State: optimized geometry

The calculation puts the density of states at the Fermi level at 1.293 states/eV/atom. The value obtained for the energy relative to the elements is -31.3 kJ/mol of atoms. For the total energy, the calculation gives -9.392 eV per atom.

a b c (Å): 4.611 4.611 8.067
angles (deg): 103.28 103.28 49.18
Fractional coordinates of all 9 atoms:
V 0.015 0.015 0.335
V 0.336 0.336 0.110
V 0.664 0.664 0.890
V 0.985 0.985 0.665
Ir 0.000 0.000 0.000
Ir 0.337 0.337 0.440
Ir 0.663 0.663 0.560
Ru 0.329 0.329 0.777
Ru 0.671 0.671 0.223

Material: V4Ir2Ru5
Method: DFT, PBE
State: optimized geometry

The calculation puts the density of states at the Fermi level at 1.186 states/eV/atom. The value obtained for the energy relative to the elements is 46.8 kJ/mol of atoms. For the total energy, the calculation gives -8.658 eV per atom.

a b c (Å): 9.198 8.355 5.388
angles (deg): 80.91 63.75 35.34
Fractional coordinates of all 11 atoms:
V 0.039 0.713 0.287
V 0.287 0.961 0.039
V 0.713 0.039 0.961
V 0.961 0.287 0.713
Ir 0.242 0.242 0.758
Ir 0.758 0.758 0.242
Ru 0.000 0.000 0.000
Ru 0.000 0.000 0.500
Ru 0.250 0.250 0.250
Ru 0.500 0.500 0.000
Ru 0.750 0.750 0.750

Material: VIrRu3
Method: DFT, PBE
State: optimized geometry

The calculation puts the density of states at the Fermi level at 1.669 states/eV/atom. The calculation puts the distance to the lowest polymorph of the same formula at 1498 meV per atom. The value obtained for the energy relative to the elements is 129.9 kJ/mol of atoms. For the total energy, the calculation gives -7.815 eV per atom.

a b c (Å): 4.369 4.369 4.369
angles (deg): 90.00 90.00 90.00
Fractional coordinates of all 5 atoms:
V 0.000 0.000 0.000
Ir 0.500 0.500 0.500
Ru 0.000 0.000 0.500
Ru 0.000 0.500 0.000
Ru 0.500 0.000 0.000

Material: V2Ir5Ru
Method: DFT, PBE
State: optimized geometry

The calculation puts the density of states at the Fermi level at 1.061 states/eV/atom. The calculation puts the distance to the lowest polymorph of the same formula at 776 meV per atom. The value obtained for the energy relative to the elements is 32.7 kJ/mol of atoms. For the total energy, the calculation gives -8.638 eV per atom.

a b c (Å): 7.559 7.559 13.395
angles (deg): 90.00 90.00 159.33
Fractional coordinates of all 16 atoms:
V 0.111 0.889 0.556
V 0.111 0.889 0.944
V 0.889 0.111 0.056
V 0.889 0.111 0.444
Ir 0.043 0.957 0.103
Ir 0.043 0.957 0.397
Ir 0.202 0.798 0.750
Ir 0.249 0.751 0.085
Ir 0.249 0.751 0.415
Ir 0.751 0.249 0.585
Ir 0.751 0.249 0.915
Ir 0.798 0.202 0.250
Ir 0.957 0.043 0.603
Ir 0.957 0.043 0.897
Ru 0.146 0.854 0.250
Ru 0.854 0.146 0.750

Material: V2Ir2Ru
Method: DFT, PBE
State: optimized geometry

The calculation puts the density of states at the Fermi level at 1.222 states/eV/atom. The calculation puts the distance to the lowest polymorph of the same formula at 0 meV per atom. The value obtained for the energy relative to the elements is -19.6 kJ/mol of atoms. For the total energy, the calculation gives -9.250 eV per atom.

a b c (Å): 7.208 7.208 2.799
angles (deg): 90.00 90.00 90.00
Fractional coordinates of all 10 atoms:
V 0.166 0.334 0.000
V 0.334 0.834 0.000
V 0.666 0.166 0.000
V 0.834 0.666 0.000
Ir 0.133 0.633 0.500
Ir 0.367 0.133 0.500
Ir 0.633 0.867 0.500
Ir 0.867 0.367 0.500
Ru 0.000 0.000 0.500
Ru 0.500 0.500 0.500

Material: V2IrRu
Method: DFT, PBE
State: optimized geometry

The calculation puts the density of states at the Fermi level at 1.249 states/eV/atom. The value obtained for the energy relative to the elements is -27.4 kJ/mol of atoms. For the total energy, the calculation gives -9.378 eV per atom.

a b c (Å): 4.884 4.925 5.253
angles (deg): 95.89 96.94 115.55
Fractional coordinates of all 8 atoms:
V 0.000 0.000 0.000
V 0.043 0.529 0.743
V 0.516 0.993 0.686
V 0.597 0.550 0.435
Ir 0.067 0.528 0.256
Ir 0.522 0.483 0.922
Ru 0.061 0.063 0.508
Ru 0.524 0.025 0.173

Material: V2IrRu
Method: DFT, PBE
State: optimized geometry

The calculation puts the density of states at the Fermi level at 0.790 states/eV/atom. The value obtained for the energy relative to the elements is -36.7 kJ/mol of atoms. For the total energy, the calculation gives -9.474 eV per atom.

a b c (Å): 5.263 5.263 5.263
angles (deg): 114.39 112.81 101.50
Fractional coordinates of all 8 atoms:
V 0.214 0.248 0.462
V 0.214 0.752 0.966
V 0.786 0.248 0.034
V 0.786 0.752 0.538
Ir 0.282 0.282 0.000
Ir 0.718 0.718 0.000
Ru 0.278 0.778 0.500
Ru 0.722 0.222 0.500

Material: V2IrRu
Method: DFT, PBE
State: optimized geometry

The calculation puts the density of states at the Fermi level at 0.932 states/eV/atom. The value obtained for the energy relative to the elements is -27.2 kJ/mol of atoms. For the total energy, the calculation gives -9.375 eV per atom.

a b c (Å): 5.004 5.005 5.012
angles (deg): 95.14 95.12 116.83
Fractional coordinates of all 8 atoms:
V 0.000 0.000 0.000
V 0.138 0.649 0.239
V 0.493 0.507 0.010
V 0.841 0.350 0.775
Ir 0.214 0.272 0.505
Ir 0.642 0.142 0.265
Ru 0.349 0.848 0.741
Ru 0.769 0.717 0.505

Material: V2IrRu
Method: DFT, PBE
State: optimized geometry

The calculation puts the density of states at the Fermi level at 1.108 states/eV/atom. The value obtained for the energy relative to the elements is -27.0 kJ/mol of atoms. For the total energy, the calculation gives -9.374 eV per atom.

a b c (Å): 4.793 4.793 4.793
angles (deg): 134.97 133.51 66.72
Fractional coordinates of all 4 atoms:
V 0.000 0.000 0.000
V 0.752 0.252 0.500
Ir 0.502 0.502 0.000
Ru 0.248 0.748 0.500

Material: V2Ir2Ru3
Method: DFT, PBE
State: optimized geometry

The calculation puts the density of states at the Fermi level at 0.990 states/eV/atom. The value obtained for the energy relative to the elements is 7.8 kJ/mol of atoms. For the total energy, the calculation gives -9.032 eV per atom.

a b c (Å): 7.844 7.844 7.844
angles (deg): 152.29 151.81 39.94
Fractional coordinates of all 7 atoms:
V 0.120 0.120 0.000
V 0.880 0.880 0.000
Ir 0.380 0.380 0.000
Ir 0.620 0.620 0.000
Ru 0.000 0.500 0.500
Ru 0.257 0.757 0.500
Ru 0.743 0.243 0.500